This record from Alexandria describes a geometry-optimized SrAsPt2 structure. The functional is PBE.

Cell lengths 5.218, 5.893, 2.951 Å; angles 75.65, 89.67, 116.19 degrees
Positions (direct):
Sr (0.000, 0.500, 0.500)
As (0.500, 0.500, 0.000)
Pt (0.000, 0.000, 0.000)
Pt (0.500, 0.000, 0.500)

Computed properties:
The density of states at the Fermi level is 2.77 states/eV per cell. For the formation energy, the calculation gives -0.19 eV per atom.